Compound: ZrTePb
Source: Alexandria via LeMat-Bulk
Functional: PBE
Structure: optimized geometry

POSCAR file:
```
ZrTePb
1.0
-4.268 2.070 1.692
-1.929 -1.462 4.417
0.109 3.120 3.952
Te Pb Zr
1 1 1
direct
0.500 0.500 0.500
0.000 0.000 0.000
0.750 0.750 0.750
```

- E_form (uncorrected) (meV per atom) = -23
- density of states at the Fermi level (states/eV/f.u.) = 3.15
- VASP energy (eV/atom) = -5.156